Record 1
A relaxed structure of KSbTe2W. Source: Alexandria, functional GGA-PBE.

## Properties
ΔE to the lowest computed polymorph   0 meV per atom
Energy relative to the elements, uncorrected   0.171 eV per atom
Size of the total moment   0.00 μB/cell
V   32.0 A^3/atom

```
data_KSbTe2W
_space_group_name_H-M_alt 'P 4/m m m'
_space_group_IT_number 123
_space_group_name_Hall '-P 4 2'
_cell_length_a 5.498
_cell_length_b 5.498
_cell_length_c 5.298
_cell_angle_alpha 90.00
_cell_angle_beta 90.00
_cell_angle_gamma 90.00
loop_
_atom_site_label
_atom_site_fract_x
_atom_site_fract_y
_atom_site_fract_z
K1 0.000 0.000 0.000
Sb1 0.500 0.500 0.000
Te1 0.000 0.500 0.500
W1 0.500 0.500 0.500
```


Record 2
A relaxed structure of KSbTe2W. Source: Alexandria, functional GGA-PBE.

## Properties
ΔE to the lowest computed polymorph   2167 meV per atom
Energy relative to the elements, uncorrected   2.338 eV per atom
Size of the total moment   0.41 μB/cell
V   36.0 A^3/atom

```
data_KSbTe2W
_space_group_name_H-M_alt 'P 4/m m m'
_space_group_IT_number 123
_space_group_name_Hall '-P 4 2'
_cell_length_a 5.720
_cell_length_b 5.720
_cell_length_c 5.496
_cell_angle_alpha 90.00
_cell_angle_beta 90.00
_cell_angle_gamma 90.00
loop_
_atom_site_label
_atom_site_fract_x
_atom_site_fract_y
_atom_site_fract_z
K1 0.000 0.000 0.000
Sb1 0.000 0.000 0.500
Te1 0.000 0.500 0.000
W1 0.500 0.500 0.500
```


Record 3
A relaxed structure of KYSb2Te. Source: Alexandria, functional GGA-PBE.

## Properties
ΔE to the lowest computed polymorph   1029 meV per atom
Energy relative to the elements, uncorrected   0.697 eV per atom
Size of the total moment   0.00 μB/cell
V   36.5 A^3/atom

```
data_KYSb2Te
_space_group_name_H-M_alt 'P 4/m m m'
_space_group_IT_number 123
_space_group_name_Hall '-P 4 2'
_cell_length_a 5.624
_cell_length_b 5.624
_cell_length_c 5.768
_cell_angle_alpha 90.00
_cell_angle_beta 90.00
_cell_angle_gamma 90.00
loop_
_atom_site_label
_atom_site_fract_x
_atom_site_fract_y
_atom_site_fract_z
K1 0.000 0.000 0.000
Y1 0.500 0.500 0.500
Sb1 0.000 0.500 0.000
Te1 0.000 0.000 0.500
```


Record 4
A relaxed structure of KYSb2Te. Source: Alexandria, functional GGA-PBE.

## Properties
ΔE to the lowest computed polymorph   0 meV per atom
Energy relative to the elements, uncorrected   -0.333 eV per atom
Size of the total moment   0.00 μB/cell
V   41.0 A^3/atom

```
data_KYSb2Te
_space_group_name_H-M_alt 'P 4/m m m'
_space_group_IT_number 123
_space_group_name_Hall '-P 4 2'
_cell_length_a 5.864
_cell_length_b 5.864
_cell_length_c 5.956
_cell_angle_alpha 90.00
_cell_angle_beta 90.00
_cell_angle_gamma 90.00
loop_
_atom_site_label
_atom_site_fract_x
_atom_site_fract_y
_atom_site_fract_z
K1 0.000 0.000 0.000
Y1 0.500 0.500 0.500
Sb1 0.000 0.500 0.500
Te1 0.500 0.500 0.000
```